BaMnTc2 PBE relaxed; crystal system = monoclinic; N(E_F) = 3.939 states/eV/f.u.; E = -7.479 eV per atom; offset from the most stable computed form = 0 meV per atom
1.0
-2.256 -2.649 2.527
0.834 -4.219 -0.016
3.628 -1.487 5.327
Tc Mn Ba
2 1 1
direct
0.011 0.011 0.968
0.692 0.692 0.926
0.301 0.301 0.097
0.496 0.496 0.510

=====

BaMnTc2 PBE relaxed; crystal system = orthorhombic; N(E_F) = 5.755 states/eV/f.u.; E = -6.720 eV per atom; offset from the most stable computed form = 759 meV per atom
1.0
-1.912 2.025 1.482
-1.447 -3.616 3.073
3.569 1.150 3.033
Mn Tc Ba
1 2 1
direct
0.000 0.500 0.500
0.500 0.500 0.000
0.000 0.000 0.000
0.500 0.000 0.500

=====

> What is the N(E_F) in the second record?

5.755 states/eV/f.u.

=====

Please write out number 1 again, unchanged.
BaMnTc2 PBE relaxed; crystal system = monoclinic; N(E_F) = 3.939 states/eV/f.u.; E = -7.479 eV per atom; offset from the most stable computed form = 0 meV per atom
1.0
-2.256 -2.649 2.527
0.834 -4.219 -0.016
3.628 -1.487 5.327
Tc Mn Ba
2 1 1
direct
0.011 0.011 0.968
0.692 0.692 0.926
0.301 0.301 0.097
0.496 0.496 0.510